# ReC2

Crystalline ReC2 at its relaxed geometry (GGA-PBE, the Alexandria database). Values from VASP.

Cell and atoms, written as Quantum ESPRESSO input:
```
&SYSTEM
  ibrav = 0, nat = 6, ntyp = 2
/
ATOMIC_SPECIES
C 12.01 C.upf
Re 186.21 Re.upf
CELL_PARAMETERS angstrom
6.019 3.683 4.284
3.227 6.260 4.307
-5.305 -5.724 -2.690
ATOMIC_POSITIONS crystal
C 0.602 0.102 0.500
C 0.898 0.398 0.500
C 0.852 0.852 0.000
C 0.148 0.148 0.000
Re 0.250 0.750 0.500
Re 0.500 0.500 0.000
```

Summary:
Magnetization (μB/atom): 0.000
Final energy (eV per atom): -9.37
Energy above the most stable polymorph in this dataset (kJ per mole of atoms): 47.3
Formation energy from the elements (meV per atom): 930
Density (g/cm3): 12.040
Volume (A^3/atom): 9.66

# Ac2Pr3Ho7

Crystalline Ac2Pr3Ho7 at its relaxed geometry (GGA-PBE, the Alexandria database). Values from VASP.

Cell and atoms, written as Quantum ESPRESSO input:
```
&SYSTEM
  ibrav = 0, nat = 12, ntyp = 3
/
ATOMIC_SPECIES
Ho 164.93 Ho.upf
Pr 140.91 Pr.upf
Ac 227.00 Ac.upf
CELL_PARAMETERS angstrom
3.620 0.000 0.000
0.000 6.423 0.727
0.000 2.362 18.174
ATOMIC_POSITIONS crystal
Ho 0.000 0.000 0.000
Ho 0.500 0.934 0.839
Ho 0.500 0.066 0.161
Ho 0.000 0.564 0.159
Ho 0.500 0.756 0.502
Ho 0.000 0.436 0.841
Ho 0.500 0.244 0.498
Pr 0.000 0.118 0.340
Pr 0.000 0.882 0.660
Pr 0.500 0.500 0.000
Ac 0.500 0.625 0.324
Ac 0.500 0.375 0.676
```

Summary:
Magnetization (μB/atom): 0.000
Final energy (eV per atom): -4.43
Formation energy from the elements (meV per atom): 117
Density (g/cm3): 8.100
Volume (A^3/atom): 34.70

# RbInNiW2

Crystalline RbInNiW2 at its relaxed geometry (GGA-PBE, the Alexandria database). Values from VASP.

Cell and atoms, written as Quantum ESPRESSO input:
```
&SYSTEM
  ibrav = 0, nat = 5, ntyp = 4
/
ATOMIC_SPECIES
Rb 85.47 Rb.upf
In 114.82 In.upf
Ni 58.69 Ni.upf
W 183.84 W.upf
CELL_PARAMETERS angstrom
-2.287 3.262 2.366
-4.102 -0.009 -3.952
-2.260 -3.291 2.353
ATOMIC_POSITIONS crystal
Rb 0.000 0.500 0.000
In 0.500 0.500 0.500
Ni 0.000 0.000 0.000
W 0.500 0.000 0.000
W 0.000 0.000 0.500
```

Summary:
Magnetization (μB/atom): 0.205
Final energy (eV per atom): -5.26
Formation energy from the elements (meV per atom): 1822
Density (g/cm3): 8.508
Volume (A^3/atom): 24.46

# Zr2HgSb

Crystalline Zr2HgSb at its relaxed geometry (GGA-PBE, the Alexandria database). Values from VASP.

Cell and atoms, written as Quantum ESPRESSO input:
```
&SYSTEM
  ibrav = 0, nat = 4, ntyp = 3
/
ATOMIC_SPECIES
Sb 121.76 Sb.upf
Zr 91.22 Zr.upf
Hg 200.59 Hg.upf
CELL_PARAMETERS angstrom
3.842 0.000 0.000
1.921 3.328 0.000
1.921 1.109 7.766
ATOMIC_POSITIONS crystal
Sb 0.668 0.668 0.997
Zr 0.255 0.255 0.235
Zr 0.079 0.079 0.764
Hg 0.499 0.499 0.503
```

Summary:
Magnetization (μB/atom): 0.000
Raw formation energy (meV per atom): -164
Final energy (eV per atom): -5.54
Energy above the most stable polymorph in this dataset (kJ per mole of atoms): 18.3
Density (g/cm3): 8.442
Volume (A^3/atom): 24.82

Q: What is the formula in the fourth record?
A: Zr2HgSb

Q: density of number 2 (Ac2Pr3Ho7)?
A: 8.100 g/cm3

Q: Which of these has the highest density?
A: ReC2

Q: What is the formula in the first record?
A: ReC2